Entry from Alexandria: a relaxed structure of Re2SbOs (PBE).

## Properties
Symmetry ... R-3m, No. 166
Electronic total energy ... -0.35101 hartree per atom
Energy relative to the elements, uncorrected ... 511 meV per atom
Calculated volume ... 64.80 Å³ per cell

Structure (CIF):
```
data_Re2SbOs
_chemical_formula_sum 'Re2 Sb1 Os1'
_symmetry_space_group_name_H-M 'P 1'
_symmetry_Int_Tables_number 1
_cell_length_a 8.9939
_cell_length_b 8.9939
_cell_length_c 8.9939
_cell_angle_alpha 18.62
_cell_angle_beta 18.62
_cell_angle_gamma 18.62
loop_
_symmetry_equiv_pos_as_xyz
'x,y,z'
loop_
_atom_site_label
_atom_site_fract_x
_atom_site_fract_y
_atom_site_fract_z
Re1 0.2469 0.2469 0.2469
Re2 0.7531 0.7531 0.7531
Sb1 0.0000 0.0000 0.0000
Os1 0.5000 0.5000 0.5000
```